Entry 1:
VASP calculation (GGA-PBE) on an optimized crystal structure of Ti5TlTe8. Values from VASP.

Energy relative to the elements, uncorrected ... -0.679 eV/atom
D(E_F) ... 0.785 states/eV/atom
Symmetry ... No. 8
Magnetic moment ... 2.076 μB/cell

Geometry as Quantum ESPRESSO input:
```
&SYSTEM
  ibrav = 0, nat = 14, ntyp = 3
/
ATOMIC_SPECIES
Ti 47.87 Ti.upf
Te 127.60 Te.upf
Tl 204.38 Tl.upf
CELL_PARAMETERS angstrom
-3.0654 -1.3770 1.8059
4.3664 -8.7626 0.7299
4.2998 5.6077 7.5449
ATOMIC_POSITIONS angstrom
Ti 4.4561 -2.8627 5.3810
Te 5.9199 -2.8996 7.8377
Ti 0.0007 0.0009 0.0018
Tl 4.9459 0.5337 8.8022
Te -0.3181 -1.6317 2.2455
Te 3.5777 -5.5531 5.8682
Ti 1.9542 3.4658 5.9599
Te 2.0236 1.0213 4.2137
Te 4.0067 -6.2829 2.0102
Te 1.5942 1.7534 8.0725
Te 2.5340 -1.6985 7.0357
Te 3.0676 -2.8338 3.0462
Ti 1.1457 -1.6699 4.7009
Ti 3.6465 -7.9966 4.1218
```

***

Entry 2:
VASP calculation (GGA-PBE) on an optimized crystal structure of TiTl4Te4. Values from VASP.

Energy relative to the elements, uncorrected ... -0.407 eV/atom
Symmetry ... No. 137
Magnetic moment ... 0.000 μB/cell

Geometry as Quantum ESPRESSO input:
```
&SYSTEM
  ibrav = 0, nat = 18, ntyp = 3
/
ATOMIC_SPECIES
Te 127.60 Te.upf
Tl 204.38 Tl.upf
Ti 47.87 Ti.upf
CELL_PARAMETERS angstrom
-6.2453 1.6825 -2.8864
-3.3470 -8.9972 1.9975
-3.1921 3.1253 8.7285
ATOMIC_POSITIONS angstrom
Te -2.0238 1.0438 1.3180
Tl -5.1598 2.0166 0.4460
Tl -6.0913 1.1604 8.3698
Te -7.5354 -5.6831 -0.7192
Te -7.1524 -6.2053 8.1892
Tl -9.9271 -5.5858 6.3295
Ti -6.3922 -2.0947 3.9198
Ti 0.0000 0.0000 0.0000
Te -8.8573 2.4657 6.8911
Te -6.9723 0.2473 2.8708
Tl -9.2496 -0.6984 5.4299
Tl -7.4777 -2.4289 0.5874
Te -4.3684 -3.1385 2.6018
Tl -3.4930 -0.1299 4.2784
Tl -5.3485 -5.1218 5.3834
Tl -4.3907 -5.9702 0.5338
Te -8.4492 -3.7264 3.7500
Te -5.7790 -1.7614 6.4565
```

***

Entry 3:
VASP calculation (GGA-PBE) on an optimized crystal structure of Ti2Tl2Te. Values from VASP.

Energy relative to the elements, uncorrected ... -0.049 eV/atom
D(E_F) ... 0.725 states/eV/atom
Symmetry ... No. 127
Magnetic moment ... 0.000 μB/cell

Geometry as Quantum ESPRESSO input:
```
&SYSTEM
  ibrav = 0, nat = 10, ntyp = 3
/
ATOMIC_SPECIES
Tl 204.38 Tl.upf
Te 127.60 Te.upf
Ti 47.87 Ti.upf
CELL_PARAMETERS angstrom
7.1325 0.0000 0.0000
0.0000 7.1325 0.0000
0.0000 0.0000 4.4804
ATOMIC_POSITIONS angstrom
Tl 4.7194 5.9794 2.2402
Te 3.5662 3.5662 0.0000
Ti 4.5782 1.0119 0.0000
Te 0.0000 0.0000 0.0000
Ti 1.0119 2.5543 0.0000
Tl 1.1531 4.7194 2.2402
Tl 5.9794 2.4131 2.2402
Tl 2.4131 1.1531 2.2402
Ti 6.1206 4.5782 0.0000
Ti 2.5543 6.1206 0.0000
```

***

Entry 4:
VASP calculation (GGA-PBE) on an optimized crystal structure of TiTl2Te3. Values from VASP.

Energy relative to the lowest polymorph listed for this composition ... 0.000 eV per atom
Energy relative to the elements, uncorrected ... -0.470 eV/atom
D(E_F) ... 0.183 states/eV/atom
Symmetry ... No. 12
Magnetic moment ... 0.166 μB/cell

Geometry as Quantum ESPRESSO input:
```
&SYSTEM
  ibrav = 0, nat = 12, ntyp = 3
/
ATOMIC_SPECIES
Tl 204.38 Tl.upf
Te 127.60 Te.upf
Ti 47.87 Ti.upf
CELL_PARAMETERS angstrom
0.3989 6.1440 4.3729
2.7886 -2.4333 7.3533
6.2721 4.0795 0.2170
ATOMIC_POSITIONS angstrom
Tl 5.9083 2.5712 4.4638
Te 2.5385 2.2057 8.9554
Tl 0.0000 0.0000 0.0000
Tl 3.5512 5.2190 7.4794
Ti 4.3765 6.8039 3.0829
Te 4.6326 0.0729 6.2020
Te 0.6490 1.5049 2.7708
Tl 1.5937 1.8553 5.8631
Te 3.2044 4.4091 4.0163
Te 4.8269 7.7172 5.7412
Ti 2.2945 3.4196 1.5070
Te 6.2552 3.3810 7.9269
```

***

Entry 5:
VASP calculation (GGA-PBE) on an optimized crystal structure of TiTl8Te6. Values from VASP.

Energy relative to the elements, uncorrected ... -0.345 eV/atom
Symmetry ... No. 31
Magnetic moment ... 0.000 μB/cell

Geometry as Quantum ESPRESSO input:
```
&SYSTEM
  ibrav = 0, nat = 30, ntyp = 3
/
ATOMIC_SPECIES
Te 127.60 Te.upf
Tl 204.38 Tl.upf
Ti 47.87 Ti.upf
CELL_PARAMETERS angstrom
8.5652 0.0000 0.0000
0.0000 9.2038 0.0000
0.0000 0.0000 15.3233
ATOMIC_POSITIONS angstrom
Te 3.1550 4.6019 13.0083
Tl 1.0963 6.6262 8.6588
Tl 2.9636 2.3520 4.5768
Te 2.0966 2.4049 1.2488
Tl 4.0449 0.0000 15.2743
Ti 6.8648 0.0000 7.4980
Tl 7.7126 2.4064 4.5129
Te 6.4686 7.0068 8.9104
Tl 0.8526 7.0083 12.1746
Ti 1.7004 4.6019 15.1596
Tl 0.8526 2.1955 12.1746
Te 5.4102 0.0000 5.3467
Tl 7.4690 2.0243 0.9971
Tl 3.7744 0.0000 8.9527
Te 5.3161 4.6019 4.4809
Tl 2.9636 6.8519 4.5768
Te 2.0966 6.7990 1.2488
Te 1.0287 4.6019 6.2402
Tl 7.7126 6.7974 4.5129
Te 3.2492 0.0000 12.1426
Te 7.5365 0.0000 13.9019
Tl 4.7908 4.6019 1.2910
Te 7.7472 4.6019 14.3689
Te 6.4686 2.1971 8.9104
Tl 4.5203 4.6019 7.6126
Tl 7.4690 7.1795 0.9971
Tl 5.6016 2.2499 12.2384
Tl 1.0963 2.5776 8.6588
Tl 5.6016 6.9539 12.2384
Te 0.8180 0.0000 6.7072
```

***

Entry 6:
VASP calculation (GGA-PBE) on an optimized crystal structure of TiTl2Te. Values from VASP.

Energy relative to the lowest polymorph listed for this composition ... 0.300 eV per atom
Energy relative to the elements, uncorrected ... 0.435 eV/atom
D(E_F) ... 1.208 states/eV/atom
Symmetry ... No. 225
Magnetic moment ... 2.480 μB/cell

Geometry as Quantum ESPRESSO input:
```
&SYSTEM
  ibrav = 0, nat = 4, ntyp = 3
/
ATOMIC_SPECIES
Ti 47.87 Ti.upf
Te 127.60 Te.upf
Tl 204.38 Tl.upf
CELL_PARAMETERS angstrom
0.0000 3.8071 3.8071
3.8071 0.0000 3.8071
3.8071 3.8071 0.0000
ATOMIC_POSITIONS angstrom
Ti 0.0000 0.0000 0.0000
Te 3.8071 3.8071 3.8071
Tl 5.7107 5.7107 5.7107
Tl 1.9036 1.9036 1.9036
```

***

Entry 7:
VASP calculation (GGA-PBE) on an optimized crystal structure of TiTl2Te. Values from VASP.

Energy relative to the lowest polymorph listed for this composition ... 0.000 eV per atom
Energy relative to the elements, uncorrected ... 0.135 eV/atom
D(E_F) ... 1.037 states/eV/atom
Symmetry ... No. 122
Magnetic moment ... 3.596 μB/cell

Geometry as Quantum ESPRESSO input:
```
&SYSTEM
  ibrav = 0, nat = 8, ntyp = 3
/
ATOMIC_SPECIES
Tl 204.38 Tl.upf
Ti 47.87 Ti.upf
Te 127.60 Te.upf
CELL_PARAMETERS angstrom
-4.0127 0.0781 1.4969
-1.4149 -1.6091 -3.7091
-1.3233 -11.9234 3.2038
ATOMIC_POSITIONS angstrom
Tl -3.0033 -3.1334 1.2682
Ti -2.7260 -7.1490 -0.8057
Ti -2.7138 -0.7655 -1.1061
Te 0.0000 0.0000 0.0000
Te -4.0249 -6.3054 1.7973
Tl -1.7291 -3.9765 -1.3255
Tl -5.7373 -10.2772 0.4785
Tl -3.0322 -9.5216 1.5618
```

***

Entry 8:
VASP calculation (GGA-PBE) on an optimized crystal structure of Ti3Tl2Te6. Values from VASP.

Energy relative to the elements, uncorrected ... -0.588 eV/atom
D(E_F) ... 0.589 states/eV/atom
Symmetry ... No. 12
Magnetic moment ... 1.988 μB/cell

Geometry as Quantum ESPRESSO input:
```
&SYSTEM
  ibrav = 0, nat = 11, ntyp = 3
/
ATOMIC_SPECIES
Te 127.60 Te.upf
Ti 47.87 Ti.upf
Tl 204.38 Tl.upf
CELL_PARAMETERS angstrom
6.4833 0.0000 1.9526
3.2417 5.8800 0.9763
-0.2384 0.0000 8.7923
ATOMIC_POSITIONS angstrom
Te 1.3414 1.9369 7.5047
Te 4.5831 3.9431 8.4810
Te 1.7121 0.0000 2.2324
Ti 0.0000 0.0000 0.0000
Te 4.9035 1.9369 3.2403
Tl 6.3641 1.9286 6.3488
Ti 3.2417 2.0282 0.9763
Tl 3.1225 3.9514 5.3725
Te 8.1451 3.9431 4.2166
Ti 6.4833 3.8518 1.9526
Te 4.5328 0.0000 8.5125
```

***

Entry 9:
VASP calculation (GGA-PBE) on an optimized crystal structure of TiTl2Te3. Values from VASP.

Energy relative to the lowest polymorph listed for this composition ... 0.021 eV per atom
Energy relative to the elements, uncorrected ... -0.449 eV/atom
D(E_F) ... 0.010 states/eV/atom
Symmetry ... No. 15
Magnetic moment ... 0.000 μB/cell

Geometry as Quantum ESPRESSO input:
```
&SYSTEM
  ibrav = 0, nat = 12, ntyp = 3
/
ATOMIC_SPECIES
Ti 47.87 Ti.upf
Te 127.60 Te.upf
Tl 204.38 Tl.upf
CELL_PARAMETERS angstrom
-4.2635 -3.9355 -4.7224
5.6867 -1.5006 -5.3623
3.6376 -6.9979 1.0690
ATOMIC_POSITIONS angstrom
Ti 2.7368 -7.5387 -0.6299
Te -3.0308 -5.3723 -5.0209
Tl 5.0104 -6.0656 -5.5265
Ti 2.3239 -4.8953 -8.3858
Tl 0.0504 -6.3684 -3.4892
Te 3.3457 -5.9052 -2.5410
Tl 2.8563 -2.5921 -3.2439
Te -0.7123 -2.9036 -3.2457
Te 8.0916 -7.0617 -3.9949
Tl 2.2045 -9.8419 -5.7719
Te 1.7150 -6.5288 -6.4748
Te 5.7731 -9.5304 -5.7700
```

***

Entry 10:
VASP calculation (GGA-PBE) on an optimized crystal structure of TiTlTe. Values from VASP.

Energy relative to the elements, uncorrected ... -0.305 eV/atom
D(E_F) ... 0.781 states/eV/atom
Symmetry ... No. 129
Magnetic moment ... 0.597 μB/cell

Geometry as Quantum ESPRESSO input:
```
&SYSTEM
  ibrav = 0, nat = 6, ntyp = 3
/
ATOMIC_SPECIES
Te 127.60 Te.upf
Tl 204.38 Tl.upf
Ti 47.87 Ti.upf
CELL_PARAMETERS angstrom
4.2764 0.0000 0.0000
0.0000 4.2764 0.0000
0.0000 0.0000 9.2826
ATOMIC_POSITIONS angstrom
Te 2.1382 0.0000 6.4581
Te 0.0000 2.1382 2.8246
Tl 0.0000 2.1382 7.8282
Tl 2.1382 0.0000 1.4544
Ti 0.0000 0.0000 4.6413
Ti 2.1382 2.1382 4.6413
```

***

Entry 11:
VASP calculation (GGA-PBE) on an optimized crystal structure of Tm2TiTl3Te6. Values from VASP.

Energy relative to the elements, uncorrected ... -0.834 eV/atom
D(E_F) ... 0.523 states/eV/atom
Symmetry ... No. 12
Magnetic moment ... 1.015 μB/cell

Geometry as Quantum ESPRESSO input:
```
&SYSTEM
  ibrav = 0, nat = 12, ntyp = 4
/
ATOMIC_SPECIES
Tl 204.38 Tl.upf
Te 127.60 Te.upf
Tm 168.93 Tm.upf
Ti 47.87 Ti.upf
CELL_PARAMETERS angstrom
-5.7071 4.8019 -0.1892
-0.6001 -6.6254 -3.3777
-0.8501 -2.6322 8.0721
ATOMIC_POSITIONS angstrom
Tl -3.5787 -2.2279 2.2526
Te -2.4044 0.8599 1.3445
Te -4.7529 -5.3157 3.1607
Tm -2.3099 -2.7996 -2.3102
Tl -5.2458 1.5025 3.2934
Te -0.7886 -2.7557 0.3357
Tl -1.9115 -5.9582 1.2117
Te -2.2261 -2.5292 5.4991
Ti 0.0000 0.0000 0.0000
Te -4.9313 -1.9265 -0.9940
Tm -3.9973 0.9760 -1.2567
Te -6.3688 -1.7000 4.1695
```

***

Entry 12:
VASP calculation (GGA-PBE) on an optimized crystal structure of U3TiTl3Te8. Values from VASP.

Energy relative to the elements, uncorrected ... -0.555 eV/atom
D(E_F) ... 1.202 states/eV/atom
Symmetry ... No. 166
Magnetic moment ... 9.001 μB/cell

Geometry as Quantum ESPRESSO input:
```
&SYSTEM
  ibrav = 0, nat = 15, ntyp = 4
/
ATOMIC_SPECIES
Te 127.60 Te.upf
U 238.03 U.upf
Tl 204.38 Tl.upf
Ti 47.87 Ti.upf
CELL_PARAMETERS angstrom
-3.4457 -3.1808 -7.1066
1.8948 -5.1682 6.4945
-7.8817 5.7117 1.2661
ATOMIC_POSITIONS angstrom
Te -5.4826 0.9782 2.2211
Te -4.4817 -1.7522 5.6517
U -4.7163 -1.3187 0.3270
U -5.6637 1.2654 -2.9202
Te -2.1141 -1.9158 1.8826
Te -6.3018 -3.4325 1.8978
Tl 0.0000 0.0000 0.0000
Te -3.1309 0.7951 -1.2438
Te -3.9500 -3.6155 -1.5670
Te -4.9510 -0.8852 -4.9977
Tl -0.7755 -4.1745 -0.3061
Ti -3.9408 2.8558 0.6331
Te -7.3186 -0.7216 -1.2286
U -2.9935 0.2717 3.8803
Tl 0.9474 -2.5841 3.2472
```